a) An optimized crystal structure of Y3Au5. Source: the Alexandria database, functional GGA-PBE.

Structure (POSCAR):
```
Y3Au5
1.0
3.6711 -4.9223 0.0000
3.6711 4.9223 0.0000
0.0000 0.0000 4.9414
Y Au
3 5
direct
0.5000 0.5000 0.0000
0.7900 0.2100 0.5000
0.2100 0.7900 0.5000
0.2923 0.2923 0.5000
0.0000 0.5000 0.0000
0.5000 0.0000 0.0000
0.0000 0.0000 0.0000
0.7077 0.7077 0.5000
```

Values from the calculation:
- Space-group type: No. 65

***

b) An optimized crystal structure of Y3Au5. Source: the Alexandria database, functional GGA-PBE.

Structure (POSCAR):
```
Y3Au5
1.0
8.5808 -0.0029 0.0000
4.2910 7.4304 0.0000
0.0000 0.0000 5.9071
Au Y
10 6
direct
0.0000 0.3635 0.7500
0.6667 0.6667 0.5000
0.3333 0.3333 0.0000
0.3635 0.6365 0.7500
0.3333 0.3333 0.5000
0.6667 0.6667 0.0000
0.0000 0.6365 0.2500
0.6365 0.3635 0.2500
0.3635 0.0000 0.2500
0.6365 0.0000 0.7500
0.0000 0.7032 0.7500
0.7032 0.0000 0.2500
0.2968 0.7032 0.2500
0.7032 0.2968 0.7500
0.0001 0.2968 0.2500
0.2968 0.0000 0.7500
```

Values from the calculation:
- Space-group type: No. 193

***

The data favor a); the next most stable structure lies 5.3 kJ/mol of atoms above it.

***

a) An optimized crystal structure of ReSe2Br. Source: the Alexandria database, functional GGA-PBE.

Structure (POSCAR):
```
ReSe2Br
1.0
3.4284 0.0000 0.0000
0.0000 3.4275 0.0000
0.0000 0.0000 7.6164
Se Re Br
2 1 1
direct
0.5000 0.5000 0.1555
0.0000 0.0000 0.9579
0.5000 0.5000 0.8275
0.0000 0.0000 0.5590
```

Values from the calculation:
- Space-group type: No. 99

***

b) An optimized crystal structure of ReSe2Br. Source: the Alexandria database, functional GGA-PBE.

Structure (POSCAR):
```
ReSe2Br
1.0
-1.1276 2.5320 -1.7248
-1.7148 -1.6564 -1.3106
-7.2800 1.8421 7.4633
Br Re Se
1 1 2
direct
0.5000 0.2500 0.2500
0.5000 0.7500 0.7500
0.0000 0.7588 0.9317
0.0000 0.7412 0.5683
```

Values from the calculation:
- Space-group type: No. 10

***

The data favor b); the next most stable structure lies 40.5 kJ/mol of atoms above it.